The following is a DFT calculation (PBE-GGA) of a relaxed TbTaFe4 crystal.

Cell lengths 4.960, 4.960, 8.212 Å; angles 90.00, 90.00, 120.00 degrees
Last column: magnetic moment on the atom in μB.
Sites, in units of the cell vectors:
Tb1 0.667 0.333 0.932  -0.43
Tb2 0.333 0.667 0.068  -0.43
Ta1 0.333 0.667 0.445  -0.38
Ta2 0.667 0.333 0.555  -0.38
Fe1 0.000 0.000 0.500  1.88
Fe2 0.000 0.000 0.000  2.02
Fe3 0.832 0.168 0.267  1.85
Fe4 0.832 0.664 0.267  1.85
Fe5 0.336 0.168 0.267  1.85
Fe6 0.168 0.832 0.733  1.85
Fe7 0.168 0.336 0.733  1.85
Fe8 0.664 0.832 0.733  1.85

ΔH_f (0 K)   -91 meV/atom
Magnetization   6.46 μB per formula unit
Space-group type   No. 164
Total energy   -8.4794 eV/atom